Here is a relaxed Ho5Er2Te2Pd2 crystal from the Open Quantum Materials Database. Energies are from GGA-PBE.

Total moment in μB/f.u.: 0.00
Total energy in eV for the cell shown: -58.01

Unit cell a=9.4057 b=9.4057 c=9.4057 alpha=155.92 beta=66.77 gamma=118.78
Closest atoms and distances in Å follow each position.
Atoms (fractional coordinates):
Ho 0.0000 0.0000 0.0000  3 Te 3.20-3.22
Ho 0.0917 0.7360 0.3557  2 Pd 2.92, 2 Te 3.15
Ho 0.3804 0.7360 0.6443  2 Pd 2.92, 2 Te 3.15
Ho 0.4543 0.5829 0.8714  2 Pd 2.87, 3 Te 3.11-3.17
Ho 0.7115 0.5829 0.1286  2 Pd 2.87, 3 Te 3.11-3.17
Er 0.0582 0.3764 0.6818  2 Pd 2.84, 1 Te 3.16
Er 0.6945 0.3764 0.3182  2 Pd 2.84, 1 Te 3.16
Te 0.3358 0.3358 0.0000  7 Ho 3.11-3.22
Te 0.7357 0.2357 0.5000  2 Er 3.16, 6 Ho 3.17-3.20
Pd 0.3083 0.0705 0.2378  2 Er 2.84, 4 Ho 2.87-2.92
Pd 0.8327 0.0705 0.7622  2 Er 2.84, 4 Ho 2.87-2.92